Entry 1:
A plane-wave DFT calculation with GGA-PBEsol was carried out for Zn2AgSb after structural relaxation.

```
Zn2AgSb
1.0
-2.0821 2.0821 4.1629
2.0821 -2.0821 4.1629
2.0821 2.0821 -4.1629
Zn Ag Sb
2 1 1
Direct
0.2500 0.7500 0.5000
0.7500 0.2500 0.5000
0.0000 0.0000 0.0000
0.5000 0.5000 0.0000
```

Properties
Calculated volume = 18.047 Å³ per atom
Uncorrected formation energy = 0.14 eV/atom
Total moment = 0.000 μB/atom
Crystal system = tetragonal
SG = I4/mmm (139)
Density of states at the Fermi level = 1.26 states/eV per cell

***

Entry 2:
A plane-wave DFT calculation with GGA-PBEsol was carried out for Sn2BiAsC after structural relaxation.

```
Sn2BiAsC
1.0
5.6430 0.0000 0.0000
0.0000 5.6430 0.0000
0.0000 0.0000 3.7637
Sn Bi As C
2 1 1 1
Direct
0.0000 0.5000 0.0000
0.5000 0.0000 0.0000
0.0000 0.0000 0.5000
0.5000 0.5000 0.0000
0.5000 0.5000 0.5000
```

Properties
Calculated volume = 23.970 Å³ per atom
Total moment = 0.000 μB/atom
Crystal system = tetragonal
SG = P4/mmm (123)
ΔE_f = 0.93 eV per atom
Density of states at the Fermi level = 2.93 states/eV per cell

***

Entry 3:
A plane-wave DFT calculation with GGA-PBEsol was carried out for SrSiHg after structural relaxation.

```
SrSiHg
1.0
8.2950 -1.9461 0.0000
8.2950 1.9461 0.0000
-1.3732 0.0000 4.6349
Sr Si Hg
2 2 2
Direct
0.1377 0.1377 0.3827
0.8623 0.8623 0.6173
0.2914 0.2914 0.0653
0.7086 0.7086 0.9347
0.4556 0.4556 0.2067
0.5444 0.5444 0.7933
```

Properties
Calculated volume = 24.940 Å³ per atom
Uncorrected formation energy = -0.50 eV/atom
Total moment = 0.000 μB/atom
Crystal system = monoclinic
SG = C2/m (12)
Density of states at the Fermi level = 2.45 states/eV per cell

***

Entry 4:
A plane-wave DFT calculation with GGA-PBEsol was carried out for Ca2TlIn after structural relaxation.

```
Ca2TlIn
1.0
1.8412 1.0630 10.0417
-1.8412 1.0630 10.0417
0.0000 -2.1260 10.0417
Ca Tl In
2 1 1
Direct
0.2499 0.2499 0.2499
0.7501 0.7501 0.7501
0.0000 0.0000 0.0000
0.5000 0.5000 0.5000
```

Properties
Calculated volume = 29.481 Å³ per atom
Total moment = 0.000 μB/atom
Crystal system = trigonal
SG = R-3m (166)
ΔE_f = -0.30 eV per atom
Density of states at the Fermi level = 3.60 states/eV per cell

***

Entry 5:
A plane-wave DFT calculation with GGA-PBEsol was carried out for CsCr5Te8 after structural relaxation.

```
CsCr5Te8
1.0
10.0825 -1.9726 0.0000
10.0825 1.9726 0.0000
-2.2900 0.0000 9.2019
Cs Cr Te
1 5 8
Direct
0.0000 0.0000 0.0000
0.1598 0.1598 0.4884
0.2039 0.2039 0.8300
0.5000 0.5000 0.5000
0.7961 0.7961 0.1700
0.8402 0.8402 0.5116
0.0726 0.0726 0.6626
0.2600 0.2600 0.3412
0.3289 0.3289 0.0073
0.4097 0.4097 0.6679
0.5903 0.5903 0.3321
0.6711 0.6711 0.9927
0.7400 0.7400 0.6588
0.9274 0.9274 0.3374
```

Properties
Calculated volume = 26.145 Å³ per atom
Uncorrected formation energy = -0.26 eV/atom
Total moment = 1.074 μB/atom
Crystal system = monoclinic
SG = C2/m (12)
Density of states at the Fermi level = 4.03 states/eV per cell

***

Entry 6:
A plane-wave DFT calculation with GGA-PBEsol was carried out for CdAs2I after structural relaxation.

```
CdAs2I
1.0
-2.8074 2.8074 7.6283
2.8074 -2.8074 7.6283
2.8074 2.8074 -7.6283
Cd As I
2 4 2
Direct
0.0000 0.0000 0.0000
0.7500 0.2500 0.5000
0.0832 0.6250 0.9582
0.3750 0.3332 0.4582
0.6668 0.1250 0.0418
0.8750 0.9168 0.5418
0.2500 0.7500 0.5000
0.5000 0.5000 0.0000
```

Properties
Calculated volume = 30.061 Å³ per atom
Uncorrected formation energy = 0.53 eV/atom
E above lowest polymorph = 0.0 meV/atom
Total moment = 0.000 μB/atom
Crystal system = tetragonal
SG = I-42d (122)
Density of states at the Fermi level = 4.48 states/eV per cell

***

Entry 7:
A plane-wave DFT calculation with GGA-PBEsol was carried out for Se2Br after structural relaxation.

```
Se2Br
1.0
1.7799 -5.6445 0.0000
1.7799 5.6445 0.0000
0.0000 0.0000 7.4912
Se Br
4 2
Direct
0.1826 0.8174 0.5467
0.1826 0.8174 0.9533
0.8174 0.1826 0.0467
0.8174 0.1826 0.4533
0.4845 0.5155 0.2500
0.5155 0.4845 0.7500
```

Properties
Calculated volume = 25.087 Å³ per atom
Uncorrected formation energy = 0.03 eV/atom
E above lowest polymorph = 80.2 meV/atom
Total moment = 0.000 μB/atom
Crystal system = orthorhombic
SG = Cmcm (63)
Density of states at the Fermi level = 2.31 states/eV per cell

***

Entry 8:
A plane-wave DFT calculation with GGA-PBEsol was carried out for La2MnSiN after structural relaxation.

```
La2MnSiN
1.0
4.9545 0.0000 0.0000
0.0000 4.9545 0.0000
0.0000 0.0000 4.2255
La Mn Si N
2 1 1 1
Direct
0.0000 0.5000 0.0000
0.5000 0.0000 0.0000
0.0000 0.0000 0.0000
0.0000 0.0000 0.5000
0.5000 0.5000 0.5000
```

Properties
Calculated volume = 20.744 Å³ per atom
Uncorrected formation energy = 0.22 eV/atom
Total moment = 0.000 μB/atom
Crystal system = tetragonal
SG = P4/mmm (123)
Density of states at the Fermi level = 1.88 states/eV per cell

***

Entry 9:
A plane-wave DFT calculation with GGA-PBEsol was carried out for SrCo3 after structural relaxation.

```
SrCo3
1.0
3.0022 0.0000 0.0000
0.0000 3.0022 0.0000
0.0000 0.0000 6.8746
Sr Co
1 3
Direct
0.0000 0.0000 0.0000
0.0000 0.0000 0.5000
0.5000 0.5000 0.3329
0.5000 0.5000 0.6671
```

Properties
Calculated volume = 15.491 Å³ per atom
Total moment = 1.131 μB/atom
Crystal system = tetragonal
SG = P4/mmm (123)
ΔE_f = 0.53 eV per atom
Density of states at the Fermi level = 4.77 states/eV per cell

***

Entry 10:
A plane-wave DFT calculation with GGA-PBEsol was carried out for Ta4Co5 after structural relaxation.

```
Ta4Co5
1.0
-4.0009 4.0009 1.8631
4.0009 -4.0009 1.8631
4.0009 4.0009 -1.8631
Ta Co
4 5
Direct
0.0000 0.3054 0.3054
0.0000 0.6946 0.6946
0.3054 0.0000 0.3054
0.6946 0.0000 0.6946
0.0000 0.0000 0.0000
0.3389 0.3389 0.6778
0.3389 0.6611 0.0000
0.6611 0.3389 0.0000
0.6611 0.6611 0.3222
```

Properties
Calculated volume = 13.255 Å³ per atom
Total moment = 0.000 μB/atom
Crystal system = tetragonal
SG = I4/mmm (139)
ΔE_f = -0.19 eV per atom
Density of states at the Fermi level = 7.47 states/eV per cell

***

Entry 11:
A plane-wave DFT calculation with GGA-PBEsol was carried out for Li2FeSi after structural relaxation.

```
Li2FeSi
1.0
2.4656 0.0000 0.0000
0.0000 2.4656 0.0000
0.0000 0.0000 8.4118
Li Fe Si
2 1 1
Direct
0.0000 0.0000 0.2447
0.0000 0.0000 0.7553
0.5000 0.5000 0.5000
0.5000 0.5000 0.0000
```

Properties
Calculated volume = 12.784 Å³ per atom
Uncorrected formation energy = 0.10 eV/atom
Total moment = 0.615 μB/atom
Crystal system = tetragonal
SG = P4/mmm (123)
Density of states at the Fermi level = 1.99 states/eV per cell

***

Entry 12:
A plane-wave DFT calculation with GGA-PBEsol was carried out for CaY2Mg after structural relaxation.

```
CaY2Mg
1.0
3.4907 0.0000 0.0000
0.0000 4.9910 0.0000
0.0000 0.0000 7.0378
Ca Y Mg
1 2 1
Direct
0.0000 0.0000 0.0000
0.0000 0.0000 0.4894
0.5000 0.5000 0.7237
0.5000 0.5000 0.2551
```

Properties
Calculated volume = 30.653 Å³ per atom
Total moment = 0.000 μB/atom
Crystal system = orthorhombic
SG = Pmm2 (25)
ΔE_f = 0.06 eV per atom
Density of states at the Fermi level = 5.60 states/eV per cell